# NdBiI (PBE, relaxed)
data_NdBiI
_cell_length_a 5.479
_cell_length_b 5.479
_cell_length_c 3.809
_cell_angle_alpha 90.00
_cell_angle_beta 90.00
_cell_angle_gamma 120.00
_space_group_name_H-M_alt 'P 1'
_space_group_IT_number 1
_space_group_name_Hall 'P 1'
loop_
_atom_site_label
_atom_site_fract_x
_atom_site_fract_y
_atom_site_fract_z
Nd1 0.000 0.000 0.000
Bi1 0.667 0.333 0.500
I1 0.333 0.667 0.000
# Energy above the lowest structure with this stoichiometry = 133 meV/atom
# Formation energy (no corrections) = -0.639 eV/atom
# Volume = 99 Å³ per cell
# VASP energy = -12.12 eV for the cell shown